Record 1
First-principles (PBE) data for an optimized crystal structure of TbTiSn2, as listed in Alexandria via LeMat-Bulk.

Unit cell a=4.5876 b=4.5876 c=4.3873 alpha=90.00 beta=90.00 gamma=90.00
Last column: nearest neighbours and their distance in Å.
Space group P4/mmm (No. 123)
One atom of each set of equivalent atoms:
Tb  0.0000  0.0000  0.0000 (multiplicity 1)  8 Sn 3.17, 4 Ti 3.24
Ti  0.5000  0.5000  0.0000 (multiplicity 1)  8 Sn 3.17, 4 Tb 3.24
Sn  0.0000  0.5000  0.5000 (multiplicity 2)  4 Ti 3.17, 4 Tb 3.17, 4 Sn 3.24

Summary:
energy of formation	-0.34	eV per atom
E above lowest polymorph	35	meV/atom

=====

Record 2
First-principles (PBE) data for an optimized crystal structure of Na3NpCo2Se6, as listed in Alexandria via LeMat-Bulk.

Unit cell a=6.4459 b=11.1588 c=7.4224 alpha=90.00 beta=107.12 gamma=90.00
Last column: nearest neighbours and their distance in Å.
Space group C2/m (No. 12)
One atom of each set of equivalent atoms:
Na  0.0000  0.0000  0.0000 (multiplicity 2)  6 Se 2.86-3.11
Na  0.0000  0.3435  0.0000 (multiplicity 4)  6 Se 2.90-3.13
Np  0.0000  0.5000  0.5000 (multiplicity 2)  6 Se 2.79
Co  0.0000  0.1672  0.5000 (multiplicity 4)  6 Se 2.48-2.49
Se  0.1958  0.0000  0.7012 (multiplicity 4)  2 Co 2.49
Se  0.2456  0.1862  0.2978 (multiplicity 8)  2 Co 2.48-2.49

Summary:
formation energy from raw total energies	-746	meV/atom

=====

Record 3
First-principles (PBE) data for an optimized crystal structure of K2TaZnS4, as listed in Alexandria via LeMat-Bulk.

Unit cell a=7.0735 b=7.0735 c=9.0290 alpha=90.00 beta=90.00 gamma=90.00
Last column: nearest neighbours and their distance in Å.
Space group I-4 (No. 82)
One atom of each set of equivalent atoms:
K  0.0000  0.0000  0.0000 (multiplicity 2)  4 S 3.13
K  0.0000  0.5000  0.2500 (multiplicity 2)  4 S 3.33
Ta  0.0000  0.5000  0.7500 (multiplicity 2)  4 S 2.32
Zn  0.0000  0.0000  0.5000 (multiplicity 2)  4 S 2.41
S  0.1531  0.7323  0.6140 (multiplicity 8)  1 Ta 2.32, 1 Zn 2.41

Summary:
formation energy from raw total energies	-965	meV/atom

=====

Record 4
First-principles (PBE) data for an optimized crystal structure of Zr3Zn9Cu2, as listed in Alexandria via LeMat-Bulk.

Unit cell a=4.2363 b=8.7842 c=11.9914 alpha=90.00 beta=90.00 gamma=90.00
Last column: nearest neighbours and their distance in Å.
Space group Immm (No. 71)
One atom of each set of equivalent atoms:
Zr  0.0000  0.0000  0.0000 (multiplicity 2)  12 Zn 3.00-3.01
Zr  0.0000  0.0000  0.2897 (multiplicity 4)  2 Cu 2.88, 10 Zn 2.97-3.05
Zn  0.0000  0.2821  0.1408 (multiplicity 8)  4 Zn 2.47-2.65, 2 Cu 2.76
Zn  0.0000  0.3623  0.3535 (multiplicity 8)  4 Zn 2.42-2.65, 1 Cu 2.51
Zn  0.0000  0.5000  0.0000 (multiplicity 2)  4 Cu 2.54, 4 Zn 2.55
Cu  0.0000  0.1588  0.5000 (multiplicity 4)  8 Zn 2.51-2.76, 1 Cu 2.79

Summary:
energy of formation	-0.21	eV per atom

=====

Record 5
First-principles (PBE) data for an optimized crystal structure of SrPd3, as listed in Alexandria via LeMat-Bulk.

Unit cell a=4.3807 b=4.3807 c=8.0508 alpha=90.00 beta=90.00 gamma=90.00
Last column: nearest neighbours and their distance in Å.
Space group I4/mmm (No. 139)
One atom of each set of equivalent atoms:
Sr  0.0000  0.0000  0.0000 (multiplicity 2)  12 Pd 2.97-3.10
Pd  0.0000  0.0000  0.5000 (multiplicity 2)  8 Pd 2.97, 4 Sr 3.10
Pd  0.0000  0.5000  0.2500 (multiplicity 4)  4 Sr 2.97, 8 Pd 2.97-3.10

Summary:
energy of formation	-0.31	eV per atom

=====

Record 6
First-principles (PBE) data for an optimized crystal structure of Dy5YTm5, as listed in Alexandria via LeMat-Bulk.

Unit cell a=5.9941 b=5.9941 c=11.5491 alpha=90.00 beta=90.00 gamma=120.00
Last column: nearest neighbours and their distance in Å.
Space group P-6m2 (No. 187)
One atom of each set of equivalent atoms:
Dy  0.0000  0.0000  0.0000 (multiplicity 1)  2 Tm 3.06
Dy  0.3333  0.6667  0.3172 (multiplicity 2)  9 Tm 3.51-3.67, 1 Y 3.66, 3 Dy 3.93
Dy  0.6667  0.3333  0.1553 (multiplicity 2)  7 Dy 3.59-3.93, 3 Tm 3.69, 3 Y 3.90
Y  0.3333  0.6667  0.0000 (multiplicity 1)  5 Dy 3.46-3.66
Tm  0.0000  0.0000  0.2652 (multiplicity 2)  1 Dy 3.06, 3 Tm 3.22
Tm  0.3344  0.1672  0.5000 (multiplicity 3)  6 Tm 2.99-3.22

Summary:
energy of formation	0.32	eV per atom
E above lowest polymorph	170	meV/atom